# NpInAg, optimized geometry, DFT GGA-PBE
data_NpInAg
_chemical_formula_sum 'Np4 In4 Ag4'
_symmetry_space_group_name_H-M 'P 1'
_symmetry_Int_Tables_number 1
_symmetry_space_group_name_Hall 'P 1'
_cell_length_a 6.9723
_cell_length_b 6.9723
_cell_length_c 6.9723
_cell_angle_alpha 90.00
_cell_angle_beta 90.00
_cell_angle_gamma 90.00
loop_
_atom_site_label
_atom_site_fract_x
_atom_site_fract_y
_atom_site_fract_z
_atom_site_occupancy
Np1 0.0000 0.0000 0.0000 1
Np2 0.0000 0.5000 0.5000 1
Np3 0.5000 0.0000 0.5000 1
Np4 0.5000 0.5000 0.0000 1
In1 0.2500 0.2500 0.7500 1
In2 0.2500 0.7500 0.2500 1
In3 0.7500 0.2500 0.2500 1
In4 0.7500 0.7500 0.7500 1
Ag1 0.0000 0.0000 0.5000 1
Ag2 0.0000 0.5000 0.0000 1
Ag3 0.5000 0.0000 0.0000 1
Ag4 0.5000 0.5000 0.5000 1
# Total energy, eV/cell: -66.05